1.
CdSb2Pb PBE-GGA optimized geometry; M_tot = 0.00 μB/f.u.; density of states at the Fermi level = 0.4588 states/eV/atom; calculated volume = 27.838 Å³/atom; uncorrected formation energy = 0.1287 eV/atom; SG = R-3m; E = -12.4 eV for the cell shown; calculated density = 8.40 g cm⁻³
1.0
10.7005 -0.1686 -0.0988
10.1833 3.2907 -0.0988
10.1833 1.5224 2.9190
Cd Sb Pb
1 2 1
Direct
0.2500 0.2500 0.2500
0.9929 0.9929 0.9929
0.5071 0.5071 0.5071
0.7500 0.7500 0.7500

2.
CdSb2Pb PBE-GGA optimized geometry; M_tot = 0.00 μB/f.u.; density of states at the Fermi level = 0.5751 states/eV/atom; calculated volume = 30.588 Å³/atom; uncorrected formation energy = 0.1047 eV/atom; SG = R3m; E = -12.4 eV for the cell shown; calculated density = 7.64 g cm⁻³
1.0
-2.6293 -3.5418 -1.0537
1.2684 -4.1937 1.1713
-3.7575 -1.9062 6.0239
Pb Cd Sb
1 1 2
Direct
0.4996 0.4996 0.5013
0.6700 0.6700 0.9899
0.0717 0.0717 0.7849
0.2587 0.2587 0.2238

3.
Cd3Sb3Pb PBE-GGA optimized geometry; energy relative to the lowest polymorph listed for this composition = 0.00 eV/f.u.; M_tot = 0.00 μB/f.u.; density of states at the Fermi level = 0.4486 states/eV/atom; calculated volume = 31.101 Å³/atom; uncorrected formation energy = 0.0144 eV/atom; SG = R-3; E = -37.4 eV for the cell shown; calculated density = 6.94 g cm⁻³
1.0
7.7667 0.7497 4.5094
2.9451 7.2256 4.5094
1.0069 0.7497 8.9242
Sb Cd Pb
6 6 2
Direct
0.2429 0.9264 0.6006
0.0736 0.3994 0.7571
0.9264 0.6006 0.2429
0.6006 0.2429 0.9264
0.7571 0.0736 0.3994
0.3994 0.7571 0.0736
0.1286 0.7773 0.4731
0.5269 0.8714 0.2227
0.8714 0.2227 0.5269
0.7773 0.4731 0.1286
0.2227 0.5269 0.8714
0.4731 0.1286 0.7773
0.6647 0.6647 0.6647
0.3353 0.3353 0.3353

4.
Cd5Sb6Pb4 PBE-GGA optimized geometry; M_tot = 0.00 μB/f.u.; density of states at the Fermi level = 0.1621 states/eV/atom; calculated volume = 30.747 Å³/atom; uncorrected formation energy = -0.0151 eV/atom; SG = Cc; E = -88.7 eV for the cell shown; calculated density = 7.64 g cm⁻³
1.0
-0.6398 -4.3687 -1.7107
4.2776 -2.1102 10.3423
-16.0799 0.4092 6.8935
Sb Cd Pb
12 10 8
Direct
0.6297 0.1441 0.3404
0.4856 0.8559 0.8404
0.1283 0.2640 0.1135
0.5405 0.1875 0.9184
0.7634 0.5891 0.9823
0.3530 0.8125 0.4184
0.7942 0.5511 0.2610
0.1743 0.4109 0.4823
0.8643 0.7360 0.6135
0.2431 0.4489 0.7610
0.5056 0.1110 0.6299
0.3947 0.8890 0.1299
0.6686 0.2920 0.7655
0.0869 0.2673 0.6306
0.5783 0.1410 0.1735
0.8196 0.7327 0.1306
0.5999 0.2579 0.4872
0.2914 0.5684 0.6144
0.3766 0.7080 0.2655
0.3420 0.7421 0.9872
0.4372 0.8590 0.6735
0.7230 0.4316 0.1144
0.1171 0.0415 0.7931
0.1927 0.3876 0.9445
0.0757 0.9585 0.2931
0.8876 0.6637 0.7994
0.2239 0.3363 0.2994
0.9265 0.9552 0.5016
0.8052 0.6124 0.4445
0.9713 0.0448 0.0016

5.
CdSb2Pb PBE-GGA optimized geometry; M_tot = 0.00 μB/f.u.; density of states at the Fermi level = 0.4800 states/eV/atom; calculated volume = 28.822 Å³/atom; uncorrected formation energy = 0.0790 eV/atom; SG = Pmm2; E = -12.6 eV for the cell shown; calculated density = 8.11 g cm⁻³
1.0
3.3170 0.0000 0.0000
0.0000 5.6525 0.0000
0.0000 0.0000 6.1489
Sb Cd Pb
2 1 1
Direct
0.0000 0.0000 0.8742
0.5000 0.5000 0.3760
0.0000 0.0000 0.3739
0.5000 0.5000 0.8759

6.
CdSbPb2 PBE-GGA optimized geometry; M_tot = 0.00 μB/f.u.; density of states at the Fermi level = 0.4405 states/eV/atom; calculated volume = 29.291 Å³/atom; uncorrected formation energy = 0.0658 eV/atom; SG = Pmmm; E = -12.2 eV for the cell shown; calculated density = 9.19 g cm⁻³
1.0
-3.6252 -3.1578 0.9224
2.5935 -3.7878 -2.7746
2.0825 -1.3026 3.7249
Cd Pb Sb
1 2 1
Direct
0.0000 0.5000 0.5000
0.0000 0.0000 0.0000
0.5000 0.5000 0.0000
0.5000 0.0000 0.5000

Q: Among the records above, which one has the highest E?
A: CdSbPb2

Q: Among the records above, which one has the highest E?
A: CdSbPb2

Q: Look up the E of the sixth one.
A: -12.2 eV for the cell shown